[1]
BeHgBi2 SCAN single point on PBEsol structure; size of the total moment = 0.0 μB per formula unit; energy of formation from the pure elements = 2.45 eV/f.u.; N(E_F) = 2.058 states/eV/f.u.; SG = Fm-3m, No. 225
1.0
0.0000 3.6254 3.6254
3.6254 0.0000 3.6254
3.6254 3.6254 0.0000
Be Hg Bi
1 1 2
direct
0.0000 0.0000 0.0000
0.5000 0.5000 0.5000
0.2500 0.2500 0.2500
0.7500 0.7500 0.7500


[2]
LaZrNi2 SCAN single point on PBEsol structure; size of the total moment = 0.0 μB per formula unit; energy of formation from the pure elements = -1.28 eV/f.u.; N(E_F) = 3.683 states/eV/f.u.; SG = P4/mmm, No. 123
1.0
3.2520 0.0000 0.0000
0.0000 3.2520 0.0000
0.0000 0.0000 6.9344
La Zr Ni
1 1 2
direct
0.0000 0.0000 0.0000
0.0000 0.0000 0.5000
0.5000 0.5000 0.3067
0.5000 0.5000 0.6933


[3]
CuSbPb SCAN single point on PBEsol structure; size of the total moment = 0.0 μB per formula unit; energy relative to the lowest polymorph listed for this composition = 0.08 eV/f.u.; N(E_F) = 0.656 states/eV/f.u.; raw formation energy = 0.0941 eV/atom; SG = F-43m, No. 216
1.0
0.0000 3.2876 3.2876
3.2876 0.0000 3.2876
3.2876 3.2876 0.0000
Cu Sb Pb
1 1 1
direct
0.0000 0.0000 0.0000
0.2500 0.2500 0.2500
0.7500 0.7500 0.7500


[4]
Li4Ti3V2Cu3O16 SCAN single point on PBEsol structure; size of the total moment = 3.0 μB per formula unit; raw formation energy = -2.3559 eV/atom; SG = Cm, No. 8
1.0
5.0158 -2.9200 0.0000
5.0158 2.9200 0.0000
-0.0577 0.0000 9.5551
Li Ti V Cu O
4 3 2 3 16
direct
0.0000 0.0000 0.0000
0.0042 0.0042 0.5091
0.3207 0.3207 0.5890
0.6613 0.6613 0.0894
0.1510 0.6505 0.2728
0.6505 0.1510 0.2728
0.8156 0.8156 0.7595
0.3354 0.3354 0.9943
0.6344 0.6344 0.5058
0.1681 0.1681 0.2847
0.3360 0.8234 0.7898
0.8234 0.3360 0.7898
0.0013 0.0013 0.1902
0.0333 0.4985 0.1460
0.1704 0.6485 0.9065
0.1803 0.1803 0.9243
0.3336 0.3336 0.3885
0.3463 0.8146 0.4048
0.4800 0.4800 0.1601
0.4985 0.0333 0.1460
0.5113 0.5113 0.6268
0.5210 0.9592 0.6464
0.6485 0.1704 0.9065
0.6655 0.6655 0.8862
0.8146 0.3463 0.4048
0.8334 0.8334 0.3932
0.9592 0.5210 0.6464
0.9983 0.9983 0.7021


[5]
FeCoNi2 SCAN single point on PBEsol structure; size of the total moment = 6.1 μB per formula unit; energy of formation from the pure elements = -0.42 eV/f.u.; N(E_F) = 2.428 states/eV/f.u.; SG = Cmmm, No. 65
1.0
2.4399 -3.5504 0.0000
2.4399 3.5504 0.0000
0.0000 0.0000 2.4360
Fe Co Ni
1 1 2
direct
0.0000 0.0000 0.0000
0.5000 0.5000 0.0000
0.0000 0.5000 0.5000
0.5000 0.0000 0.5000


[6]
LaY3Br SCAN single point on PBEsol structure; size of the total moment = 0.0 μB per formula unit; N(E_F) = 6.672 states/eV/f.u.; raw formation energy = -0.3124 eV/atom; SG = Pm-3m, No. 221
1.0
5.4006 0.0000 0.0000
0.0000 5.4006 0.0000
0.0000 0.0000 5.4006
La Y Br
1 3 1
direct
0.0000 0.0000 0.0000
0.0000 0.5000 0.5000
0.5000 0.0000 0.5000
0.5000 0.5000 0.0000
0.5000 0.5000 0.5000


[7]
YS2ClF SCAN single point on PBEsol structure; size of the total moment = 3.0 μB per formula unit; N(E_F) = 2.412 states/eV/f.u.; raw formation energy = -0.8026 eV/atom; SG = P4/mmm, No. 123
1.0
5.3104 0.0000 0.0000
0.0000 5.3104 0.0000
0.0000 0.0000 5.0918
Y S Cl F
1 2 1 1
direct
0.0000 0.0000 0.0000
0.0000 0.5000 0.0000
0.5000 0.0000 0.0000
0.0000 0.0000 0.5000
0.5000 0.5000 0.5000


[8]
TlCdCl3 SCAN single point on PBEsol structure; size of the total moment = 0.0 μB per formula unit; N(E_F) = 0.000 states/eV/f.u.; raw formation energy = -1.1746 eV/atom; SG = Pm-3m, No. 221
1.0
5.1272 0.0000 0.0000
0.0000 5.1272 0.0000
0.0000 0.0000 5.1272
Tl Cd Cl
1 1 3
direct
0.0000 0.0000 0.0000
0.5000 0.5000 0.5000
0.0000 0.5000 0.5000
0.5000 0.0000 0.5000
0.5000 0.5000 0.0000


[9]
BaP2 SCAN single point on PBEsol structure; size of the total moment = 0.0 μB per formula unit; energy of formation from the pure elements = -2.82 eV/f.u.; SG = P2_1/c, No. 14
1.0
6.3416 0.0000 0.0000
0.0000 12.0405 0.0000
-4.5805 0.0000 6.1408
Ba P
6 12
direct
0.0000 0.0000 0.0000
0.0000 0.5000 0.5000
0.2704 0.1620 0.6644
0.2704 0.3380 0.1644
0.7296 0.6620 0.8356
0.7296 0.8380 0.3356
0.1785 0.7068 0.3495
0.1785 0.7932 0.8495
0.3270 0.6237 0.9733
0.3270 0.8763 0.4733
0.4354 0.6054 0.3104
0.4354 0.8946 0.8104
0.5646 0.1054 0.1896
0.5646 0.3946 0.6896
0.6730 0.1237 0.5267
0.6730 0.3763 0.0267
0.8215 0.2068 0.1505
0.8215 0.2932 0.6505


[10]
BeMo2Cl SCAN single point on PBEsol structure; size of the total moment = 0.0 μB per formula unit; energy relative to the lowest polymorph listed for this composition = 0.00 eV/f.u.; N(E_F) = 2.009 states/eV/f.u.; raw formation energy = 0.2104 eV/atom; SG = Pmmm, No. 47
1.0
2.9273 0.0000 0.0000
0.0000 3.1254 0.0000
0.0000 0.0000 6.6125
Be Mo Cl
1 2 1
direct
0.0000 0.0000 0.0000
0.5000 0.5000 0.1795
0.5000 0.5000 0.8205
0.0000 0.5000 0.5000


[11]
BaCrCo2 SCAN single point on PBEsol structure; size of the total moment = 6.9 μB per formula unit; energy relative to the lowest polymorph listed for this composition = 0.09 eV/f.u.; energy of formation from the pure elements = 4.55 eV/f.u.; N(E_F) = 3.157 states/eV/f.u.; SG = P2/m, No. 10
1.0
4.5621 0.0000 0.0000
0.0000 3.1418 0.0000
-1.8999 0.0000 4.7797
Ba Cr Co
1 1 2
direct
0.0000 0.0000 0.0000
0.0000 0.5000 0.5000
0.5000 0.0000 0.5000
0.5000 0.5000 0.0000


[12]
Zr5Os3 SCAN single point on PBEsol structure; size of the total moment = 0.0 μB per formula unit; energy relative to the lowest polymorph listed for this composition = 0.42 eV/f.u.; energy of formation from the pure elements = -3.69 eV/f.u.; N(E_F) = 7.952 states/eV/f.u.; SG = Cmmm, No. 65
1.0
3.2997 -4.6338 0.0000
3.2997 4.6338 0.0000
0.0000 0.0000 4.6784
Zr Os
5 3
direct
0.0000 0.0000 0.0000
0.0000 0.5000 0.0000
0.2606 0.2606 0.5000
0.5000 0.0000 0.0000
0.7394 0.7394 0.5000
0.2453 0.7547 0.5000
0.5000 0.5000 0.0000
0.7547 0.2453 0.5000


[13]
Mn2FeTc SCAN single point on PBEsol structure; size of the total moment = 5.8 μB per formula unit; energy of formation from the pure elements = 0.33 eV/f.u.; N(E_F) = 3.742 states/eV/f.u.; SG = P2/m, No. 10
1.0
2.4937 0.0000 0.0000
0.0000 4.0274 0.0000
-0.7199 0.0000 4.6367
Mn Fe Tc
2 1 1
direct
0.2318 0.0000 0.2614
0.7682 0.0000 0.7386
0.0000 0.5000 0.5000
0.5000 0.5000 0.0000


[14]
SrZn2AgH SCAN single point on PBEsol structure; size of the total moment = 0.0 μB per formula unit; N(E_F) = 1.517 states/eV/f.u.; total DFT energy (no corrections) = -16.744 eV per atom; SG = P4/mmm, No. 123
1.0
4.3531 0.0000 0.0000
0.0000 4.3531 0.0000
0.0000 0.0000 4.6131
Sr Zn Ag H
1 2 1 1
direct
0.0000 0.0000 0.0000
0.0000 0.5000 0.5000
0.5000 0.0000 0.5000
0.5000 0.5000 0.0000
0.0000 0.0000 0.5000


[15]
CoPt2Se SCAN single point on PBEsol structure; size of the total moment = 1.8 μB per formula unit; N(E_F) = 2.002 states/eV/f.u.; raw formation energy = 0.2254 eV/atom; SG = Amm2, No. 38
1.0
3.8587 0.0000 0.0000
0.0000 1.5397 4.8535
0.0000 -1.5397 4.8535
Co Pt Se
1 2 1
direct
0.0000 0.0000 0.0000
0.0000 0.7371 0.7371
0.5000 0.3859 0.3859
0.5000 0.1224 0.1224


[16]
KZn2Co SCAN single point on PBEsol structure; size of the total moment = 0.0 μB per formula unit; energy relative to the lowest polymorph listed for this composition = 0.54 eV/f.u.; energy of formation from the pure elements = 1.98 eV/f.u.; N(E_F) = 0.910 states/eV/f.u.; SG = P4mm, No. 99
1.0
3.2210 0.0000 0.0000
0.0000 3.2210 0.0000
0.0000 0.0000 7.5289
K Zn Co
1 2 1
direct
0.0000 0.0000 0.0000
0.0000 0.0000 0.5721
0.5000 0.5000 0.3501
0.5000 0.5000 0.6617


[17]
CoRe2Tc SCAN single point on PBEsol structure; size of the total moment = 1.2 μB per formula unit; energy relative to the lowest polymorph listed for this composition = 0.15 eV/f.u.; energy of formation from the pure elements = 0.42 eV/f.u.; N(E_F) = 3.414 states/eV/f.u.; SG = Pmm2, No. 25
1.0
2.6768 0.0000 0.0000
0.0000 3.7490 0.0000
0.0000 0.0000 5.3371
Co Re Tc
1 2 1
direct
0.0000 0.0000 0.0000
0.0000 0.0000 0.5021
0.5000 0.5000 0.2314
0.5000 0.5000 0.7609


[18]
Ca2Zn2Pb SCAN single point on PBEsol structure; size of the total moment = 0.0 μB per formula unit; energy relative to the lowest polymorph listed for this composition = 0.00 eV/f.u.; energy of formation from the pure elements = -2.03 eV/f.u.; N(E_F) = 3.176 states/eV/f.u.; SG = P4/mbm, No. 127
1.0
7.7255 0.0000 0.0000
0.0000 7.7255 0.0000
0.0000 0.0000 4.0435
Ca Zn Pb
4 4 2
direct
0.1770 0.3230 0.0000
0.3230 0.8230 0.0000
0.6770 0.1770 0.0000
0.8230 0.6770 0.0000
0.1157 0.6157 0.5000
0.3843 0.1157 0.5000
0.6157 0.8843 0.5000
0.8843 0.3843 0.5000
0.0000 0.0000 0.5000
0.5000 0.5000 0.5000


[19]
AlZnIr SCAN single point on PBEsol structure; size of the total moment = 0.0 μB per formula unit; energy of formation from the pure elements = -0.40 eV/f.u.; N(E_F) = 0.941 states/eV/f.u.; SG = F-43m, No. 216
1.0
0.0000 2.8655 2.8655
2.8655 0.0000 2.8655
2.8655 2.8655 0.0000
Al Zn Ir
1 1 1
direct
0.0000 0.0000 0.0000
0.2500 0.2500 0.2500
0.5000 0.5000 0.5000


[20]
Cu3BiSb SCAN single point on PBEsol structure; size of the total moment = 0.0 μB per formula unit; N(E_F) = 2.990 states/eV/f.u.; raw formation energy = 0.9607 eV/atom; SG = Pm-3m, No. 221
1.0
4.8785 0.0000 0.0000
0.0000 4.8785 0.0000
0.0000 0.0000 4.8785
Cu Bi Sb
3 1 1
direct
0.0000 0.0000 0.5000
0.0000 0.5000 0.0000
0.5000 0.0000 0.0000
0.0000 0.0000 0.0000
0.5000 0.5000 0.5000